Record 1
VASP calculation (GGA-PBE) on crystalline Er6HPd2 at its relaxed geometry.

Geometry as POSCAR:
```
Er6HPd2
1.0
6.359 0.000 0.000
0.000 6.940 0.000
-6.303 0.000 9.653
Er H Pd
12 2 4
Cartesian
-0.865 0.162 2.422
-4.017 3.308 7.249
1.101 4.707 0.584
-2.051 5.703 5.410
2.093 1.252 0.564
-1.059 2.218 5.390
1.114 4.722 4.263
-2.037 5.688 9.089
2.106 1.237 4.243
-1.045 2.233 9.069
4.073 3.632 2.404
0.921 6.778 7.230
0.000 0.000 0.000
-3.152 3.470 4.826
-2.726 0.787 7.240
0.425 2.683 2.414
-0.369 4.257 7.239
2.782 6.153 2.413
```

## Properties
Space group: P2_1/c (14)

Record 2
VASP calculation (GGA-PBE) on crystalline Er3H12Pd5 at its relaxed geometry.

Geometry as POSCAR:
```
Er3H12Pd5
1.0
-5.866 5.866 5.866
5.866 -5.866 5.866
5.866 5.866 -5.866
Er H Pd
12 48 20
Cartesian
2.933 1.467 0.000
5.866 2.933 -1.467
1.467 0.000 2.933
7.333 0.000 2.933
0.000 2.933 1.467
2.933 -1.467 5.866
2.933 7.333 0.000
5.866 2.933 4.400
-1.467 5.866 2.933
4.400 5.866 2.933
0.000 2.933 7.333
2.933 4.400 5.866
1.725 -0.308 0.662
7.074 3.595 -3.241
7.591 0.308 0.662
7.074 -2.271 3.241
5.558 -0.662 1.725
9.107 -1.208 2.271
0.662 1.725 -0.308
8.137 2.625 -1.208
3.595 3.241 -1.208
5.204 1.725 0.308
-0.308 0.662 1.725
3.241 -1.208 3.595
5.558 5.204 -1.725
3.241 1.208 2.271
3.595 -3.241 7.074
5.204 -1.725 5.558
2.271 3.241 1.208
6.528 4.141 0.308
3.241 7.074 -2.271
5.558 0.662 4.141
1.725 5.558 -0.662
7.074 2.271 2.625
1.208 2.271 3.241
1.725 0.308 5.204
4.141 5.558 0.662
4.658 3.595 2.625
-1.208 3.595 3.241
4.141 0.308 6.528
0.308 5.204 1.725
2.625 -1.208 8.137
-0.662 1.725 5.558
3.595 2.625 4.658
0.662 7.591 0.308
2.271 9.107 -1.208
2.625 4.658 3.595
0.308 0.662 7.591
2.625 7.074 2.271
6.174 5.204 4.141
0.662 4.141 5.558
2.271 2.625 7.074
-2.271 3.241 7.074
5.204 4.141 6.174
-3.241 7.074 3.595
0.308 6.528 4.141
-1.208 8.137 2.625
-1.725 5.558 5.204
-1.208 2.271 9.107
4.141 6.174 5.204
0.000 0.000 0.000
2.933 2.933 -2.933
2.933 -2.933 2.933
5.866 0.000 0.000
8.799 1.467 0.000
5.866 -2.933 4.400
4.400 5.866 -2.933
4.400 0.000 2.933
2.933 4.400 0.000
5.866 2.933 1.467
-2.933 2.933 2.933
0.000 5.866 0.000
0.000 0.000 5.866
2.933 2.933 2.933
0.000 2.933 4.400
2.933 1.467 5.866
1.467 5.866 2.933
1.467 0.000 8.799
0.000 8.799 1.467
-2.933 4.400 5.866
```

## Properties
Space group: Ia-3d (230)

Record 3
VASP calculation (GGA-PBE) on crystalline ErH8Pd6 at its relaxed geometry.

Geometry as POSCAR:
```
ErH8Pd6
1.0
4.026 2.325 2.523
-4.026 2.325 2.523
0.000 -4.649 2.523
Er H Pd
1 8 6
Cartesian
0.000 0.000 0.000
-2.459 -0.632 4.048
-0.682 -2.445 3.521
0.000 0.000 2.337
-1.777 1.813 3.521
1.777 -1.813 4.048
0.000 0.000 5.233
0.682 2.445 4.048
2.459 0.632 3.521
-1.821 0.291 2.509
0.659 -1.722 2.509
-1.162 -1.432 5.061
1.162 1.432 2.509
-0.659 1.722 5.061
1.821 -0.291 5.061
```

## Properties
Space group: R-3 (148)

Record 4
VASP calculation (GGA-PBE) on crystalline ErH4Pd5 at its relaxed geometry.

Geometry as POSCAR:
```
ErH4Pd5
1.0
5.758 0.000 0.000
0.000 8.376 0.000
0.000 0.000 4.753
Er H Pd
2 8 10
Cartesian
1.439 2.094 1.065
4.318 6.282 3.688
0.325 6.282 2.184
1.439 4.447 4.353
1.439 8.117 4.353
2.554 6.282 2.184
3.204 2.094 2.570
4.318 0.259 0.400
4.318 3.929 0.400
5.433 2.094 2.570
0.012 4.858 1.171
0.012 7.706 1.171
1.439 6.282 3.661
2.866 4.858 1.171
2.866 7.706 1.171
2.891 0.670 3.582
2.891 3.518 3.582
4.318 2.094 1.093
5.745 0.670 3.582
5.745 3.518 3.582
```

## Properties
Space group: Pmmn (59)

Record 5
VASP calculation (GGA-PBE) on crystalline ErH6Pd5 at its relaxed geometry.

Geometry as POSCAR:
```
ErH6Pd5
1.0
2.658 -4.486 0.000
2.658 4.486 0.000
-1.993 0.000 4.875
Er H Pd
1 6 5
Cartesian
0.000 0.000 0.000
1.211 1.743 1.141
-0.050 0.000 3.289
2.112 1.743 3.733
1.211 -1.743 1.141
3.373 0.000 1.586
2.112 -1.743 3.733
1.661 3.061 2.437
2.658 1.530 0.000
1.661 0.000 2.437
2.658 -1.530 0.000
1.661 -3.061 2.437
```

## Properties
Space group: C2/m (12)

Record 6
VASP calculation (GGA-PBE) on crystalline Er2HPd6 at its relaxed geometry.

Geometry as POSCAR:
```
Er2HPd6
1.0
-2.906 2.906 4.136
2.906 -2.906 4.136
2.906 2.906 -4.136
Er H Pd
2 1 6
Cartesian
2.906 0.000 2.068
0.000 2.906 2.068
0.000 0.000 0.000
0.000 0.000 2.078
1.461 1.461 0.000
1.445 -1.445 4.136
-1.445 1.445 4.136
0.000 0.000 6.195
1.445 1.445 4.136
```

## Properties
Space group: I4/mmm (139)

Record 7
VASP calculation (GGA-PBE) on crystalline ErH12Pd7 at its relaxed geometry.

Geometry as POSCAR:
```
ErH12Pd7
1.0
-3.505 3.505 3.505
3.505 -3.505 3.505
3.505 3.505 -3.505
Er H Pd
1 12 7
Cartesian
0.000 0.000 0.000
3.505 2.287 -1.367
2.138 0.000 1.218
4.872 0.000 1.218
1.218 2.138 0.000
2.287 -1.367 3.505
0.000 1.218 2.138
3.505 2.287 1.367
1.218 4.872 0.000
2.287 1.367 3.505
-1.367 3.505 2.287
1.367 3.505 2.287
0.000 1.218 4.872
1.752 1.752 -1.752
1.752 -1.752 1.752
3.505 0.000 0.000
-1.752 1.752 1.752
0.000 3.505 0.000
0.000 0.000 3.505
1.752 1.752 1.752
```

## Properties
Space group: Im-3 (204)

Record 8
VASP calculation (GGA-PBE) on crystalline Er2HPd at its relaxed geometry.

Geometry as POSCAR:
```
Er2HPd
1.0
3.340 0.000 0.000
-1.670 2.892 0.000
0.000 0.000 24.104
Er H Pd
6 3 3
Cartesian
0.000 0.000 2.623
0.000 0.000 21.481
0.000 1.928 13.446
0.000 1.928 18.692
1.670 0.964 5.412
1.670 0.964 10.658
0.000 0.000 12.052
0.000 1.928 4.017
1.670 0.964 20.087
0.000 0.000 0.000
0.000 1.928 16.069
1.670 0.964 8.035
```

## Properties
E above lowest polymorph (meV per atom): 182
Space group: R-3m (166)

Record 9
VASP calculation (GGA-PBE) on crystalline ErH6Pd7 at its relaxed geometry.

Geometry as POSCAR:
```
ErH6Pd7
1.0
2.536 1.464 7.165
-2.536 1.464 7.165
0.000 -2.929 7.165
Er H Pd
1 6 7
Cartesian
0.000 0.000 0.000
-1.635 -0.030 8.836
-0.809 -1.471 12.637
0.844 -1.401 8.836
-0.870 1.436 12.637
0.792 1.431 8.836
1.678 0.035 12.637
-0.849 -1.472 9.541
-1.693 0.003 11.941
-0.850 1.471 9.541
0.844 -1.468 11.941
0.000 0.000 14.325
1.699 0.001 9.541
0.849 1.465 11.941
```

## Properties
Space group: R3 (146)

Record 10
VASP calculation (GGA-PBE) on crystalline ErH3Pd3 at its relaxed geometry.

Geometry as POSCAR:
```
ErH3Pd3
1.0
5.439 0.000 0.000
0.000 5.439 0.000
0.000 0.000 5.439
Er H Pd
2 6 6
Cartesian
0.000 0.000 0.000
2.720 2.720 2.720
0.000 1.360 2.720
0.000 4.080 2.720
1.360 2.720 0.000
2.720 0.000 1.360
2.720 0.000 4.080
4.080 2.720 0.000
0.000 2.720 1.360
0.000 2.720 4.080
1.360 0.000 2.720
2.720 1.360 0.000
2.720 4.080 0.000
4.080 0.000 2.720
```

## Properties
Space group: Pm-3n (223)

Record 11
VASP calculation (GGA-PBE) on crystalline ErHPdPt2 at its relaxed geometry.

Geometry as POSCAR:
```
ErHPdPt2
1.0
4.125 0.000 0.000
0.000 4.125 0.000
0.000 0.000 4.201
Er H Pd Pt
1 1 1 2
Cartesian
0.000 0.000 0.000
2.063 2.063 2.100
2.063 2.063 0.000
0.000 2.063 2.100
2.063 0.000 2.100
```

## Properties
Space group: P4/mmm (123)

Record 12
VASP calculation (GGA-PBE) on crystalline ErHPd2Pt at its relaxed geometry.

Geometry as POSCAR:
```
ErHPd2Pt
1.0
4.156 0.000 0.000
0.000 4.156 0.000
0.000 0.000 4.127
Er H Pd Pt
1 1 2 1
Cartesian
0.000 0.000 0.000
2.078 2.078 2.063
0.000 2.078 2.063
2.078 0.000 2.063
2.078 2.078 0.000
```

## Properties
Space group: P4/mmm (123)

Record 13
VASP calculation (GGA-PBE) on crystalline ErH8PdRh4 at its relaxed geometry.

Geometry as POSCAR:
```
ErH8PdRh4
1.0
2.818 1.627 4.594
-2.818 1.627 4.594
0.000 -3.254 4.594
Er H Pd Rh
1 8 1 4
Cartesian
0.000 0.000 0.000
0.000 -1.803 7.045
-1.562 0.902 7.045
0.000 0.000 5.266
-1.053 -0.608 9.864
1.053 -0.608 9.864
0.000 1.216 9.864
0.000 0.000 11.610
1.562 0.902 7.045
0.000 0.000 8.462
-1.395 -0.805 6.243
0.000 0.000 3.480
1.395 -0.805 6.243
0.000 1.611 6.243
```

## Properties
Space group: R3m (160)

Record 14
VASP calculation (GGA-PBE) on crystalline ErH4Pd2Rh at its relaxed geometry.

Geometry as POSCAR:
```
ErH4Pd2Rh
1.0
0.000 3.074 4.488
3.048 0.000 4.488
3.048 3.074 0.000
Er H Pd Rh
1 4 2 1
Cartesian
0.000 0.000 0.000
3.048 1.893 3.199
4.209 3.074 5.793
3.048 4.256 3.199
1.887 3.074 5.793
1.524 1.537 2.239
4.572 4.611 6.727
3.048 3.074 4.487
```

## Properties
Space group: Fmm2 (42)

Record 15
VASP calculation (GGA-PBE) on crystalline Er2SiHPd6 at its relaxed geometry.

Geometry as POSCAR:
```
Er2SiHPd6
1.0
4.909 -2.829 0.000
4.909 2.829 0.000
-3.311 0.000 5.849
Er Si H Pd
2 1 1 6
Cartesian
1.622 0.000 0.977
4.885 0.000 4.872
4.909 0.000 0.000
-1.655 0.000 2.925
-0.021 0.000 4.077
2.435 1.413 4.088
4.071 1.413 1.761
2.435 -1.413 4.088
4.071 -1.413 1.761
6.528 0.000 1.772
```

## Properties
Space group: C2/m (12)

Record 16
VASP calculation (GGA-PBE) on crystalline Er2ZnHPd6 at its relaxed geometry.

Geometry as POSCAR:
```
Er2ZnHPd6
1.0
5.668 0.000 0.000
2.802 4.941 0.000
2.773 1.661 5.926
Er Zn H Pd
2 1 1 6
Cartesian
2.840 1.681 1.912
8.403 4.921 4.015
5.622 3.301 2.963
0.000 0.000 0.000
5.552 4.913 4.842
4.142 2.434 4.733
4.243 4.167 1.118
7.000 2.435 4.809
7.102 4.168 1.194
5.692 1.689 1.085
```

## Properties
Space group: P-1 (2)

Record 17
VASP calculation (GGA-PBE) on crystalline PmErH2 at its relaxed geometry.

Geometry as POSCAR:
```
PmErH2
1.0
3.518 0.000 0.000
-1.759 3.047 0.000
0.000 0.000 17.849
Pm Er H
3 3 6
Cartesian
0.000 0.000 0.000
0.000 2.031 11.899
1.759 1.016 5.950
0.000 0.000 14.649
0.000 2.031 8.699
1.759 1.016 2.750
0.000 0.000 3.964
0.000 0.000 7.474
0.000 2.031 1.525
0.000 2.031 15.863
1.759 1.016 9.913
1.759 1.016 13.424
```

## Properties
E above lowest polymorph (meV per atom): 86
Space group: R3m (160)

Record 18
VASP calculation (GGA-PBE) on crystalline PmEr2H at its relaxed geometry.

Geometry as POSCAR:
```
PmEr2H
1.0
3.465 0.000 0.000
-1.732 3.001 0.000
0.000 0.000 28.381
Pm Er H
3 6 3
Cartesian
0.000 0.000 0.000
0.000 2.000 18.921
1.732 1.000 9.460
0.000 0.000 3.418
0.000 0.000 24.963
0.000 2.000 15.503
0.000 2.000 22.339
1.732 1.000 6.043
1.732 1.000 12.878
0.000 0.000 14.191
0.000 2.000 4.730
1.732 1.000 23.651
```

## Properties
E above lowest polymorph (meV per atom): 0
Space group: R-3m (166)

What did we get for ρ? Answer: 9.5; 8.6; 9.5; 10.2; 10.1; 11.6; 8.9; 9.5; 9.6; 10.1; 15.4; 13.4; 9.1; 9.6; 10.2; 10.4; 8.2; 8.1 g/cm3, in the order shown.
What did we get for VASP energy? Answer: -5.0834; -4.3338; -4.4247; -4.7677; -4.5350; -5.7028; -4.2259; -4.5268; -4.6269; -4.8369; -5.8292; -5.6413; -4.9171; -4.8936; -5.6817; -5.1641; -4.2868; -4.3406 eV per atom, in the order shown.
What did we get for spin magnetization? Answer: 0.0; 0.0; 0.0; 0.0; 0.0; 0.0; 0.0; 0.0; 0.0; 0.0; 0.0; 0.0; 0.0; 0.0; 0.0; 0.0; 0.0; 0.0 μB per cell, in the order shown.